CaMnBe2 (GGA-PBE, relaxed); ΔH_f (0 K) = 2.284 eV per formula unit; E = -4.085 eV/atom; space group = I4_1/amd; energy above the lowest structure with this stoichiometry = 398 meV/atom; total magnetic moment = 2.96 μB per formula unit; DOS(E_F) = 15.5 states/eV per cell
1.0
4.300 0.000 0.000
0.000 4.300 0.000
0.000 0.000 16.104
Ca Mn Be
4 4 8
Cartesian
0.000 1.075 6.039 Ca
0.000 3.225 10.065 Ca
2.150 1.075 2.013 Ca
2.150 3.225 14.091 Ca
0.000 1.075 14.091 Mn
0.000 3.225 2.013 Mn
2.150 1.075 10.065 Mn
2.150 3.225 6.039 Mn
0.000 0.000 0.000 Be
0.000 2.150 0.000 Be
1.075 1.075 12.078 Be
1.075 3.225 4.026 Be
2.150 0.000 8.052 Be
2.150 2.150 8.052 Be
3.225 1.075 12.078 Be
3.225 3.225 4.026 Be